No. 1
Material: Sr2MgGe2
Method: DFT, PBE-GGA
State: relaxed

Properties
Energy of formation from the pure elements   -35 kJ/mol of atoms
M_tot   0.000 μB per atom

abc: 8.1620 8.1620 8.1620
angles: 127.24 72.87 133.58
With the nearest neighbours (Å) after each atom.
Fractional positions:
Sr (0.1454, 0.1784, 0.3238)  5 Ge 3.23-3.42, 2 Mg 3.42
Sr (0.3546, 0.6784, 0.0330)  5 Ge 3.23-3.42, 2 Mg 3.42
Sr (0.6454, 0.3216, 0.9670)  5 Ge 3.23-3.42, 2 Mg 3.42
Sr (0.8546, 0.8216, 0.6762)  5 Ge 3.23-3.42, 2 Mg 3.42
Mg (0.2500, 0.7500, 0.5000)  4 Ge 2.72
Mg (0.7500, 0.2500, 0.5000)  4 Ge 2.72
Ge (0.1101, 0.7273, 0.8374)  2 Mg 2.72
Ge (0.3899, 0.2273, 0.6172)  2 Mg 2.72
Ge (0.6101, 0.7727, 0.3828)  2 Mg 2.72
Ge (0.8899, 0.2727, 0.1626)  2 Mg 2.72

=====

No. 2
Material: SrMgGe3
Method: DFT, PBE-GGA
State: relaxed

Properties
Energy of formation from the pure elements   11 kJ/mol of atoms
M_tot   0.000 μB per atom

abc: 5.0946 5.0946 5.0946
angles: 90.00 90.00 90.00
With the nearest neighbours (Å) after each atom.
Fractional positions:
Sr (0.0000, 0.0000, 0.0000)  12 Ge 3.60
Mg (0.5000, 0.5000, 0.5000)  6 Ge 2.55
Ge (0.0000, 0.5000, 0.5000)  2 Mg 2.55
Ge (0.5000, 0.0000, 0.5000)  2 Mg 2.55
Ge (0.5000, 0.5000, 0.0000)  2 Mg 2.55

=====

No. 3
Material: SrMgGe3
Method: DFT, PBE-GGA
State: relaxed

Properties
Energy of formation from the pure elements   105 kJ/mol of atoms
M_tot   0.000 μB per atom

abc: 5.6308 5.6308 5.6308
angles: 90.00 90.00 90.00
With the nearest neighbours (Å) after each atom.
Fractional positions:
Sr (0.0000, 0.0000, 0.0000)  6 Ge 2.82
Mg (0.5000, 0.5000, 0.5000)  12 Ge 3.98
Ge (0.0000, 0.0000, 0.5000)  2 Sr 2.82
Ge (0.0000, 0.5000, 0.0000)  2 Sr 2.82
Ge (0.5000, 0.0000, 0.0000)  2 Sr 2.82

=====

No. 4
Material: Sr3Mg7Ge4
Method: DFT, PBE-GGA
State: relaxed

Properties
Energy of formation from the pure elements   -38 kJ/mol of atoms
M_tot   0.000 μB per atom

abc: 8.9601 8.9601 10.6636
angles: 123.36 123.36 29.15
With the nearest neighbours (Å) after each atom.
Fractional positions:
Sr (0.0000, 0.0000, 0.0000)  6 Ge 3.38-3.44, 6 Mg 3.77-3.78
Sr (0.3059, 0.3059, 0.2982)  4 Ge 3.29-3.31, 10 Mg 3.35-3.66
Sr (0.6941, 0.6941, 0.7018)  4 Ge 3.29-3.31, 10 Mg 3.35-3.66
Mg (0.0000, 0.0000, 0.5000)  2 Ge 2.97, 4 Mg 3.21
Mg (0.1650, 0.1650, 0.4282)  3 Ge 2.79-2.94
Mg (0.3181, 0.3181, 0.9786)  4 Ge 2.77-2.88, 1 Mg 3.10
Mg (0.4913, 0.4913, 0.7062)  3 Ge 2.76-2.91
Mg (0.5087, 0.5087, 0.2938)  3 Ge 2.76-2.91
Mg (0.6819, 0.6819, 0.0214)  4 Ge 2.77-2.88, 1 Mg 3.10
Mg (0.8350, 0.8350, 0.5718)  3 Ge 2.79-2.94
Ge (0.1203, 0.1203, 0.8378)  6 Mg 2.77-2.97
Ge (0.3421, 0.3421, 0.7323)  5 Mg 2.76-2.94
Ge (0.6579, 0.6579, 0.2677)  5 Mg 2.76-2.94
Ge (0.8797, 0.8797, 0.1622)  6 Mg 2.77-2.97

=====

No. 5
Material: Sr3MgGe
Method: DFT, PBE-GGA
State: relaxed

Properties
Energy relative to the lowest polymorph listed for this composition   0 kJ/mol of formula units
Energy of formation from the pure elements   -12 kJ/mol of atoms
M_tot   0.000 μB per atom

abc: 6.1169 6.1169 6.1169
angles: 90.00 90.00 90.00
With the nearest neighbours (Å) after each atom.
Fractional positions:
Sr (0.0000, 0.0000, 0.5000)  2 Ge 3.06
Sr (0.0000, 0.5000, 0.0000)  2 Ge 3.06
Sr (0.5000, 0.0000, 0.0000)  2 Ge 3.06
Mg (0.5000, 0.5000, 0.5000)  12 Sr 4.33
Ge (0.0000, 0.0000, 0.0000)  6 Sr 3.06

=====

No. 6
Material: SrMg5Ge2
Method: DFT, PBE-GGA
State: relaxed

Properties
Energy of formation from the pure elements   -28 kJ/mol of atoms
M_tot   0.000 μB per atom

abc: 7.0678 7.0678 7.0678
angles: 144.11 109.40 81.82
With the nearest neighbours (Å) after each atom.
Fractional positions:
Sr (0.0000, 0.0000, 0.0000)  4 Ge 3.38, 8 Mg 3.74
Mg (0.1651, 0.3498, 0.8154)  3 Ge 2.76-2.89, 1 Mg 3.02
Mg (0.4656, 0.6502, 0.8154)  3 Ge 2.76-2.89, 1 Mg 3.02
Mg (0.5000, 0.0000, 0.5000)  2 Ge 2.76
Mg (0.5344, 0.3498, 0.1846)  3 Ge 2.76-2.89, 1 Mg 3.02
Mg (0.8349, 0.6502, 0.1846)  3 Ge 2.76-2.89, 1 Mg 3.02
Ge (0.2418, 0.7418, 0.5000)  7 Mg 2.76-2.89
Ge (0.7582, 0.2582, 0.5000)  7 Mg 2.76-2.89

=====

No. 7
Material: Sr5MgGe4
Method: DFT, PBE-GGA
State: relaxed

Properties
Energy of formation from the pure elements   -33 kJ/mol of atoms
M_tot   0.000 μB per atom

abc: 10.3579 10.3579 7.7889
angles: 90.29 90.29 24.77
With the nearest neighbours (Å) after each atom.
Fractional positions:
Sr (0.0000, 0.0000, 0.0000)  4 Ge 3.30
Sr (0.3180, 0.3180, 0.8088)  4 Ge 3.14-3.39
Sr (0.3679, 0.3679, 0.3275)  4 Ge 3.16-3.28
Sr (0.6321, 0.6321, 0.6725)  4 Ge 3.16-3.28
Sr (0.6820, 0.6820, 0.1912)  4 Ge 3.14-3.39
Mg (0.0000, 0.0000, 0.5000)  4 Ge 2.72
Ge (0.2149, 0.2149, 0.4639)  2 Ge 2.70
Ge (0.4761, 0.4761, 0.6922)  2 Mg 2.72
Ge (0.5239, 0.5239, 0.3078)  2 Mg 2.72
Ge (0.7851, 0.7851, 0.5361)  2 Ge 2.70

=====

No. 8
Material: SrMgGe4
Method: DFT, PBE-GGA
State: relaxed

Properties
Energy of formation from the pure elements   -16 kJ/mol of atoms
M_tot   0.000 μB per atom

abc: 5.7238 5.7238 5.7238
angles: 60.00 60.00 60.00
With the nearest neighbours (Å) after each atom.
Fractional positions:
Sr (0.0000, 0.0000, 0.0000)  12 Ge 3.36, 4 Mg 3.51
Mg (0.7500, 0.7500, 0.7500)  12 Ge 3.35, 4 Sr 3.51
Ge (0.3768, 0.3768, 0.3768)  6 Ge 2.82-2.90
Ge (0.3768, 0.3768, 0.8696)  6 Ge 2.82-2.90
Ge (0.3768, 0.8696, 0.3768)  6 Ge 2.82-2.90
Ge (0.8696, 0.3768, 0.3768)  6 Ge 2.82-2.90

=====

Which value of energy of formation from the pure elements does entry 2 give?
11 kJ/mol of atoms